# CaTlMoPt2, relaxed, DFT PBE
data_CaTlMoPt2
_chemical_formula_sum 'Ca1 Tl1 Mo1 Pt2'
_cell_length_a 5.093
_cell_length_b 5.093
_cell_length_c 5.368
_cell_angle_alpha 90.00
_cell_angle_beta 90.00
_cell_angle_gamma 90.00
_space_group_name_H-M_alt 'P 4/m m m'
_space_group_IT_number 123
_space_group_name_Hall '-P 4 2'
loop_
_atom_site_label
_atom_site_fract_x
_atom_site_fract_y
_atom_site_fract_z
Ca1 0.000 0.000 0.000
Tl1 0.000 0.000 0.500
Mo1 0.500 0.500 0.000
Pt1 0.000 0.500 0.500
# total DFT energy (no corrections)	-4.1413	eV per atom
# total moment	0.89	μB/atom
# volume	27.85	Å³/atom


# CaZrMo2Pt, relaxed, DFT PBE
data_CaZrMo2Pt
_chemical_formula_sum 'Ca1 Zr1 Mo2 Pt1'
_cell_length_a 4.864
_cell_length_b 4.864
_cell_length_c 5.141
_cell_angle_alpha 90.00
_cell_angle_beta 90.00
_cell_angle_gamma 90.00
_space_group_name_H-M_alt 'P 4/m m m'
_space_group_IT_number 123
_space_group_name_Hall '-P 4 2'
loop_
_atom_site_label
_atom_site_fract_x
_atom_site_fract_y
_atom_site_fract_z
Ca1 0.000 0.000 0.000
Zr1 0.500 0.500 0.500
Mo1 0.000 0.500 0.500
Pt1 0.500 0.500 0.000
# total DFT energy (no corrections)	-6.5432	eV per atom
# total moment	0.38	μB/atom
# volume	24.32	Å³/atom


# RbCaMo2, relaxed, DFT PBE
data_RbCaMo2
_chemical_formula_sum 'Rb4 Ca4 Mo8'
_cell_length_a 7.654
_cell_length_b 7.654
_cell_length_c 7.654
_cell_angle_alpha 90.00
_cell_angle_beta 90.00
_cell_angle_gamma 90.00
_space_group_name_H-M_alt 'F m -3 m'
_space_group_IT_number 225
_space_group_name_Hall '-F 4 2 3'
loop_
_atom_site_label
_atom_site_fract_x
_atom_site_fract_y
_atom_site_fract_z
Rb1 0.000 0.000 0.000
Ca1 0.000 0.000 0.500
Mo1 0.250 0.250 0.250
# total DFT energy (no corrections)	-4.1131	eV per atom
# ΔE to the lowest computed polymorph	34	meV/atom
# total moment	1.74	μB/atom
# volume	28.02	Å³/atom


Number 1: energy of formation from the pure elements 1.315 eV per atom. Number 2: energy of formation from the pure elements 1.107 eV per atom. Number 3: energy of formation from the pure elements 2.045 eV per atom.